A geometry-optimized BeCoSO structure, computed with GGA+U.

Calculated values
energy above the lowest structure with this stoichiometry	180.2	meV/atom

a = 5.7710 Å, b = 6.4315 Å, c = 5.5207 Å
α = 90.00°, β = 90.00°, γ = 90.00°
Sites, in units of the cell vectors:
Be (0.0591, 0.1546, 0.0000)
Be (0.4409, 0.1546, 0.5000)
Be (0.5591, 0.8454, 0.0000)
Be (0.9409, 0.8454, 0.5000)
Co (0.1075, 0.6103, 0.9364)
Co (0.3925, 0.6103, 0.4364)
Co (0.6075, 0.3897, 0.9364)
Co (0.8925, 0.3897, 0.4364)
S (0.0947, 0.1258, 0.6211)
S (0.4053, 0.1258, 0.1211)
S (0.5947, 0.8742, 0.6211)
S (0.9053, 0.8742, 0.1211)
O (0.0685, 0.6340, 0.5723)
O (0.4315, 0.6340, 0.0723)
O (0.5685, 0.3660, 0.5723)
O (0.9315, 0.3660, 0.0723)